Ho3Cd11 (PBE, optimized geometry); electronic total energy = -26.58 eV/f.u.; ΔH_f (0 K) = -2.8 eV/f.u.; size of the total moment = 0.00 μB/cell
1.0
-3.400 -1.412 3.008
3.559 0.388 7.963
-3.490 7.315 3.247
Cd Ho
11 3
Cartesian
1.089 0.939 5.429 Cd
-1.202 4.888 12.209 Cd
-0.336 -0.360 3.209 Cd
-2.788 4.248 6.358 Cd
-2.060 4.032 3.322 Cd
-0.544 2.043 7.860 Cd
0.034 3.852 5.605 Cd
-2.130 1.403 2.009 Cd
-2.996 6.650 11.009 Cd
-1.272 2.259 10.895 Cd
-4.420 5.352 8.789 Cd
-0.917 5.114 8.880 Ho
0.000 0.000 0.000 Ho
-2.415 1.177 5.337 Ho